(1)
Entry from the Alexandria database: a geometry-optimized Cd2CuF structure (PBE).

Unit cell a=6.4729 b=6.4729 c=6.4729 alpha=90.00 beta=90.00 gamma=90.00
Positions (direct):
Cd (0.2500, 0.2500, 0.2500)
Cd (0.2500, 0.2500, 0.7500)
Cd (0.2500, 0.7500, 0.2500)
Cd (0.2500, 0.7500, 0.7500)
Cd (0.7500, 0.2500, 0.2500)
Cd (0.7500, 0.2500, 0.7500)
Cd (0.7500, 0.7500, 0.2500)
Cd (0.7500, 0.7500, 0.7500)
Cu (0.0000, 0.0000, 0.0000)
Cu (0.0000, 0.5000, 0.5000)
Cu (0.5000, 0.0000, 0.5000)
Cu (0.5000, 0.5000, 0.0000)
F (0.0000, 0.0000, 0.5000)
F (0.0000, 0.5000, 0.0000)
F (0.5000, 0.0000, 0.0000)
F (0.5000, 0.5000, 0.5000)

Results
Energy above the most stable polymorph in this dataset: 39 kJ/mol of formula units
Energy relative to the elements, uncorrected: -421 meV per atom
Total DFT energy (no corrections): -2.371 eV/atom
SG: Fm-3m, No. 225

***

(2)
Entry from the Alexandria database: a geometry-optimized CdCu2F structure (PBE).

Unit cell a=6.7020 b=6.7020 c=5.1467 alpha=90.00 beta=90.00 gamma=90.00
Positions (direct):
Cd (0.0000, 0.0000, 0.0000)
Cd (0.0000, 0.5000, 0.2500)
Cd (0.5000, 0.0000, 0.7500)
Cd (0.5000, 0.5000, 0.5000)
Cu (0.2015, 0.2500, 0.6250)
Cu (0.2500, 0.7015, 0.8750)
Cu (0.2500, 0.7985, 0.3750)
Cu (0.2985, 0.2500, 0.1250)
Cu (0.7015, 0.7500, 0.1250)
Cu (0.7500, 0.2015, 0.3750)
Cu (0.7500, 0.2985, 0.8750)
Cu (0.7985, 0.7500, 0.6250)
F (0.0000, 0.0000, 0.5000)
F (0.0000, 0.5000, 0.7500)
F (0.5000, 0.0000, 0.2500)
F (0.5000, 0.5000, 0.0000)

Results
Energy above the most stable polymorph in this dataset: 0 kJ/mol of formula units
Energy relative to the elements, uncorrected: -346 meV per atom
Total DFT energy (no corrections): -3.090 eV/atom
SG: I-42d, No. 122

***

(3)
Entry from the Alexandria database: a geometry-optimized Cd3CuF7 structure (PBE).

Unit cell a=6.6614 b=6.6614 c=7.4527 alpha=90.00 beta=90.00 gamma=107.59
Positions (direct):
Cd (0.0000, 0.0000, 0.0000)
Cd (0.0000, 0.0000, 0.5000)
Cd (0.0364, 0.5016, 0.7500)
Cd (0.4984, 0.9636, 0.7500)
Cd (0.5016, 0.0364, 0.2500)
Cd (0.9636, 0.4984, 0.2500)
Cu (0.5000, 0.5000, 0.0000)
Cu (0.5000, 0.5000, 0.5000)
F (0.1313, 0.8687, 0.7500)
F (0.1382, 0.8618, 0.2500)
F (0.1409, 0.3893, 0.0210)
F (0.1409, 0.3893, 0.4790)
F (0.3893, 0.1409, 0.5210)
F (0.3893, 0.1409, 0.9790)
F (0.4148, 0.5852, 0.7500)
F (0.5852, 0.4148, 0.2500)
F (0.6107, 0.8591, 0.0210)
F (0.6107, 0.8591, 0.4790)
F (0.8591, 0.6107, 0.5210)
F (0.8591, 0.6107, 0.9790)
F (0.8618, 0.1382, 0.7500)
F (0.8687, 0.1313, 0.2500)

Results
Energy relative to the elements, uncorrected: -1927 meV per atom
Total DFT energy (no corrections): -3.740 eV/atom
SG: Cmcm, No. 63

***

(4)
Entry from the Alexandria database: a geometry-optimized Cd2CuF4 structure (PBE).

Unit cell a=4.3608 b=4.3608 c=11.4129 alpha=90.00 beta=90.00 gamma=90.00
Positions (direct):
Cd (0.0000, 0.0000, 0.1254)
Cd (0.0000, 0.0000, 0.8746)
Cd (0.5000, 0.5000, 0.3746)
Cd (0.5000, 0.5000, 0.6254)
Cu (0.0000, 0.0000, 0.5000)
Cu (0.5000, 0.5000, 0.0000)
F (0.0000, 0.0000, 0.3136)
F (0.0000, 0.0000, 0.6864)
F (0.0000, 0.5000, 0.0000)
F (0.0000, 0.5000, 0.5000)
F (0.5000, 0.0000, 0.0000)
F (0.5000, 0.0000, 0.5000)
F (0.5000, 0.5000, 0.1864)
F (0.5000, 0.5000, 0.8136)

Results
Energy relative to the elements, uncorrected: -1456 meV per atom
Total DFT energy (no corrections): -3.372 eV/atom
SG: I4/mmm, No. 139

***

(5)
Entry from the Alexandria database: a geometry-optimized Cd3CuF structure (PBE).

Unit cell a=4.6956 b=4.6956 c=4.6956 alpha=90.00 beta=90.00 gamma=90.00
Positions (direct):
Cd (0.0000, 0.0000, 0.5000)
Cd (0.0000, 0.5000, 0.0000)
Cd (0.5000, 0.0000, 0.0000)
Cu (0.5000, 0.5000, 0.5000)
F (0.0000, 0.0000, 0.0000)

Results
Energy above the most stable polymorph in this dataset: 52 kJ/mol of formula units
Energy relative to the elements, uncorrected: -94 meV per atom
Total DFT energy (no corrections): -1.837 eV/atom
SG: Pm-3m, No. 221

***

(6)
Entry from the Alexandria database: a geometry-optimized CdCu2F2 structure (PBE).

Unit cell a=6.8412 b=6.8412 c=2.8182 alpha=90.00 beta=90.00 gamma=90.00
Positions (direct):
Cd (0.0000, 0.0000, 0.0000)
Cd (0.5000, 0.5000, 0.0000)
Cu (0.1441, 0.3559, 0.5000)
Cu (0.3559, 0.8559, 0.5000)
Cu (0.6441, 0.1441, 0.5000)
Cu (0.8559, 0.6441, 0.5000)
F (0.1344, 0.6344, 0.0000)
F (0.3656, 0.1344, 0.0000)
F (0.6344, 0.8656, 0.0000)
F (0.8656, 0.3656, 0.0000)

Results
Energy above the most stable polymorph in this dataset: 6 kJ/mol of formula units
Energy relative to the elements, uncorrected: -620 meV per atom
Total DFT energy (no corrections): -3.190 eV/atom
SG: P4/mbm, No. 127

***

What is the energy relative to the elements, uncorrected in the second record? -346 meV per atom